# Nd2SmDyHo

Crystalline Nd2SmDyHo at its relaxed geometry (PBE, the Alexandria database).

Cell lengths 8.1954, 6.7558, 6.2039 Å; angles 90.00, 90.06, 90.00 degrees
Atoms (fractional coordinates):
Nd 0.1957 0.1932 0.2505
Nd 0.1957 0.8068 0.7505
Nd 0.8043 0.1932 0.2495
Nd 0.8043 0.8068 0.7495
Sm 0.5000 0.5000 0.0000
Sm 0.5000 0.5000 0.5000
Dy 0.5000 0.0809 0.7500
Dy 0.5000 0.9191 0.2500
Ho 0.0000 0.3421 0.7500
Ho 0.0000 0.6579 0.2500

As for the energy of formation from the pure elements: 0.267 eV per atom. The theoretical density is 7.41 g/cm³. As for the crystal system: monoclinic.

# NdSm2Dy2Ho

Crystalline NdSm2Dy2Ho at its relaxed geometry (PBE, the Alexandria database).

Cell lengths 6.6323, 17.9101, 3.4016 Å; angles 90.00, 90.00, 90.00 degrees
Atoms (fractional coordinates):
Nd 0.0000 0.0000 0.0000
Nd 0.5000 0.5000 0.5000
Sm 0.2328 0.3157 0.0000
Sm 0.2672 0.8157 0.5000
Sm 0.7328 0.1843 0.5000
Sm 0.7672 0.6843 0.0000
Dy 0.2317 0.1477 0.5000
Dy 0.2683 0.6477 0.0000
Dy 0.7317 0.3523 0.0000
Dy 0.7683 0.8523 0.5000
Ho 0.0000 0.5000 0.0000
Ho 0.5000 0.0000 0.5000

As for the energy of formation from the pure elements: 0.268 eV per atom. The theoretical density is 7.68 g/cm³. As for the crystal system: orthorhombic.